Record 1
This record from Alexandria via LeMat-Bulk describes Mg5Ga5Rh after structural relaxation. The functional is PBE-GGA.

Properties
Space-group type: No. 71
DFT formation energy, eV per formula unit: -1.7
Crystal system: orthorhombic

a b c (Å): 4.7304 9.1908 5.6808
angles (deg): 107.99 90.00 104.91
Closest atoms and distances in Å follow each position.
Fractional coordinates of all 11 atoms:
Mg 0.7189 0.4378 0.2189  6 Ga 2.87-3.01, 4 Mg 3.05-3.21
Mg 0.6525 0.3050 0.6522  4 Ga 2.84, 2 Mg 3.05
Mg 0.0000 0.0000 0.5000  4 Ga 2.80, 2 Rh 2.84
Mg 0.3475 0.6950 0.3478  4 Ga 2.84, 2 Mg 3.05
Mg 0.2811 0.5622 0.7811  6 Ga 2.87-3.01, 4 Mg 3.05-3.21
Ga 0.8618 0.7237 0.0873  1 Ga 2.56, 1 Rh 2.65, 3 Mg 2.80-2.84
Ga 0.8619 0.7238 0.6369  1 Ga 2.56, 1 Rh 2.65, 3 Mg 2.80-2.84
Ga 0.5000 0.0000 0.0000  2 Rh 2.37
Ga 0.1381 0.2762 0.3631  1 Ga 2.56, 1 Rh 2.65, 3 Mg 2.80-2.84
Ga 0.1382 0.2763 0.9127  1 Ga 2.56, 1 Rh 2.65, 3 Mg 2.80-2.84
Rh 0.0000 0.0000 0.0000  2 Ga 2.37

Record 2
This record from Alexandria via LeMat-Bulk describes Ce2ScGe4Au3 after structural relaxation. The functional is PBE-GGA.

Properties
Space-group type: No. 115
DFT formation energy, eV per formula unit: -5.8
Crystal system: tetragonal

a b c (Å): 4.3372 4.3372 11.4429
angles (deg): 90.00 90.00 90.00
Closest atoms and distances in Å follow each position.
Fractional coordinates of all 10 atoms:
Ce 0.5000 0.0000 0.2454  8 Ge 3.32-3.55, 6 Au 3.32-3.63, 2 Sc 3.63
Ce 0.0000 0.5000 0.7546  8 Ge 3.32-3.55, 6 Au 3.32-3.63, 2 Sc 3.63
Sc 0.5000 0.5000 0.5000  4 Ge 2.73
Ge 0.5000 0.5000 0.0000  4 Au 2.66
Ge 0.0000 0.0000 0.0000  4 Au 2.66
Ge 0.5000 0.0000 0.6445  3 Au 2.53-2.73, 2 Sc 2.73
Ge 0.0000 0.5000 0.3555  3 Au 2.53-2.73, 2 Sc 2.73
Au 0.0000 0.0000 0.5000  4 Ge 2.73
Au 0.5000 0.0000 0.8655  5 Ge 2.53-2.66
Au 0.0000 0.5000 0.1345  5 Ge 2.53-2.66

Record 3
This record from Alexandria via LeMat-Bulk describes Sm6GaCo3 after structural relaxation. The functional is PBE-GGA.

Properties
Space-group type: No. 11
DFT formation energy, eV per formula unit: -1.2
Crystal system: monoclinic

a b c (Å): 3.7641 10.6166 13.5278
angles (deg): 108.38 90.00 90.00
Closest atoms and distances in Å follow each position.
Fractional coordinates of all 20 atoms:
Sm 0.7500 0.5272 0.6202  3 Co 2.68-2.75
Sm 0.2500 0.4728 0.3798  3 Co 2.68-2.75
Sm 0.7500 0.8316 0.0966  5 Co 2.90-2.95, 2 Ga 3.18
Sm 0.2500 0.1684 0.9034  5 Co 2.90-2.95, 2 Ga 3.18
Sm 0.7500 0.4402 0.0898  3 Co 2.82-2.98
Sm 0.2500 0.5598 0.9102  3 Co 2.82-2.98
Sm 0.7500 0.7236 0.3087  3 Co 2.62-2.85
Sm 0.2500 0.2764 0.6913  3 Co 2.62-2.85
Sm 0.7500 0.1471 0.4414  2 Co 2.75
Sm 0.2500 0.8529 0.5586  2 Co 2.75
Sm 0.7500 0.8451 0.8221  3 Co 2.76-2.97
Sm 0.2500 0.1549 0.1779  3 Co 2.76-2.97
Ga 0.7500 0.0582 0.7052  7 Sm 3.04-3.18, 1 Co 3.14
Ga 0.2500 0.9418 0.2948  7 Sm 3.04-3.18, 1 Co 3.14
Co 0.7500 0.3508 0.8574  7 Sm 2.82-2.98, 1 Ga 3.14
Co 0.2500 0.6492 0.1426  7 Sm 2.82-2.98, 1 Ga 3.14
Co 0.7500 0.6584 0.4802  6 Sm 2.62-2.75
Co 0.2500 0.3416 0.5198  6 Sm 2.62-2.75
Co 0.7500 0.0651 0.0225  2 Co 2.30
Co 0.2500 0.9349 0.9775  2 Co 2.30

Record 4
This record from Alexandria via LeMat-Bulk describes Re2TcAg after structural relaxation. The functional is PBE-GGA.

Properties
Energy above the most stable polymorph in this dataset, eV/atom: 0.3570
Space-group type: No. 216
DFT formation energy, eV per formula unit: 2.4
Crystal system: cubic

a b c (Å): 4.4359 4.4359 4.4359
angles (deg): 60.00 60.00 60.00
Closest atoms and distances in Å follow each position.
Fractional coordinates of all 4 atoms:
Ag 0.5000 0.5000 0.5000  4 Re 2.72, 4 Tc 2.72
Re 0.0000 0.0000 0.0000  4 Re 2.72, 4 Tc 2.72
Re 0.2500 0.2500 0.2500  4 Re 2.72, 4 Ag 2.72
Tc 0.7500 0.7500 0.7500  4 Re 2.72, 4 Ag 2.72

Record 5
This record from Alexandria via LeMat-Bulk describes LiPd2W after structural relaxation. The functional is PBE-GGA.

Properties
Space-group type: No. 166
DFT formation energy, eV per formula unit: -0.3
Crystal system: trigonal

a b c (Å): 2.8145 2.8145 8.9359
angles (deg): 80.94 80.94 60.00
Closest atoms and distances in Å follow each position.
Fractional coordinates of all 4 atoms:
Pd 0.7480 0.7480 0.7560  3 Li 2.69, 3 W 2.77, 6 Pd 2.81
Pd 0.2520 0.2520 0.2440  3 Li 2.69, 3 W 2.77, 6 Pd 2.81
W 0.5000 0.5000 0.5000  6 Pd 2.77, 6 W 2.81
Li 0.0000 0.0000 0.0000  6 Pd 2.69, 6 Li 2.81

Record 6
This record from Alexandria via LeMat-Bulk describes Li2CaPrP2 after structural relaxation. The functional is PBE-GGA.

Properties
Space-group type: No. 164
DFT formation energy, eV per formula unit: -6.0
Crystal system: trigonal

a b c (Å): 4.2262 4.2262 7.6084
angles (deg): 90.00 90.00 120.00
Closest atoms and distances in Å follow each position.
Fractional coordinates of all 6 atoms:
Li 0.3333 0.6667 0.7312  3 P 2.44
Li 0.6667 0.3333 0.2688  3 P 2.44
Ca 0.0000 0.0000 0.5000  6 Li 3.01, 6 P 3.08
Pr 0.0000 0.0000 0.0000  6 P 3.11, 6 Li 3.18
P 0.3333 0.6667 0.2539  3 Li 2.44
P 0.6667 0.3333 0.7461  3 Li 2.44

Record 7
This record from Alexandria via LeMat-Bulk describes OsRhS2 after structural relaxation. The functional is PBE-GGA.

Properties
Energy above the most stable polymorph in this dataset, eV/atom: 0.0000
Space-group type: No. 122
Formation energy (no corrections), eV per atom: -0.0010
Crystal system: tetragonal

a b c (Å): 5.2767 5.2767 6.4049
angles (deg): 65.67 65.67 90.00
Closest atoms and distances in Å follow each position.
Fractional coordinates of all 8 atoms:
Rh 0.5000 0.5000 0.0000  4 S 2.30
Rh 0.2500 0.7500 0.5000  4 S 2.30
S 0.6348 0.1250 0.2500  2 Os 2.25, 2 Rh 2.30
S 0.1152 0.6250 0.2500  2 Os 2.25, 2 Rh 2.30
S 0.3750 0.3652 0.7500  2 Os 2.25, 2 Rh 2.30
S 0.8750 0.8848 0.7500  2 Os 2.25, 2 Rh 2.30
Os 0.0000 0.0000 0.0000  4 S 2.25
Os 0.7500 0.2500 0.5000  4 S 2.25

Record 8
This record from Alexandria via LeMat-Bulk describes Sr3Pd3Pb after structural relaxation. The functional is PBE-GGA.

Properties
Energy above the most stable polymorph in this dataset, eV/atom: 0.2133
Space-group type: No. 176
DFT formation energy, eV per formula unit: -2.7
Crystal system: hexagonal

a b c (Å): 6.1495 9.3000 9.3000
angles (deg): 120.00 90.00 90.00
Closest atoms and distances in Å follow each position.
Fractional coordinates of all 14 atoms:
Sr 0.7500 0.6970 0.6428  5 Pd 3.08-3.20
Sr 0.7500 0.3572 0.0542  5 Pd 3.08-3.20
Sr 0.7500 0.9458 0.3030  5 Pd 3.08-3.20
Sr 0.2500 0.3030 0.3572  5 Pd 3.08-3.20
Sr 0.2500 0.6428 0.9458  5 Pd 3.08-3.20
Sr 0.2500 0.0542 0.6970  5 Pd 3.08-3.20
Pd 0.2500 0.6828 0.6325  1 Pb 2.71
Pd 0.2500 0.3675 0.0503  1 Pb 2.71
Pd 0.2500 0.9497 0.3172  1 Pb 2.71
Pd 0.7500 0.3172 0.3675  1 Pb 2.71
Pd 0.7500 0.6325 0.9497  1 Pb 2.71
Pd 0.7500 0.0503 0.6828  1 Pb 2.71
Pb 0.2500 0.6667 0.3333  3 Pd 2.71
Pb 0.7500 0.3333 0.6667  3 Pd 2.71

Record 9
This record from Alexandria via LeMat-Bulk describes CrFe2AgB after structural relaxation. The functional is PBE-GGA.

Properties
Space-group type: No. 123
DFT formation energy, eV per formula unit: 10.0
Crystal system: tetragonal

a b c (Å): 4.1236 4.9233 4.1236
angles (deg): 90.00 90.00 90.00
Closest atoms and distances in Å follow each position.
Fractional coordinates of all 5 atoms:
Cr 0.0000 0.0000 0.0000  4 Fe 2.06
B 0.5000 0.5000 0.5000  4 Ag 2.92, 8 Fe 3.21
Fe 0.0000 0.0000 0.5000  2 Cr 2.06
Fe 0.5000 0.0000 0.0000  2 Cr 2.06
Ag 0.0000 0.5000 0.0000  2 Cr 2.46

Record 10
This record from Alexandria via LeMat-Bulk describes Ho4OsRh2 after structural relaxation. The functional is PBE-GGA.

Properties
Space-group type: No. 166
DFT formation energy, eV per formula unit: -4.0
Crystal system: trigonal

a b c (Å): 4.8169 4.8169 8.2626
angles (deg): 73.05 73.05 60.00
Closest atoms and distances in Å follow each position.
Fractional coordinates of all 7 atoms:
Ho 0.8758 0.8758 0.3725  1 Os 2.90, 4 Rh 2.93-2.94
Ho 0.1242 0.1242 0.6275  1 Os 2.90, 4 Rh 2.93-2.94
Ho 0.6253 0.6253 0.1241  4 Rh 2.91-2.95, 3 Os 2.94
Ho 0.3747 0.3747 0.8759  4 Rh 2.91-2.95, 3 Os 2.94
Os 0.0000 0.0000 0.0000  8 Ho 2.90-2.94
Rh 0.7501 0.7501 0.7496  8 Ho 2.91-2.95
Rh 0.2499 0.2499 0.2504  8 Ho 2.91-2.95

Record 11
This record from Alexandria via LeMat-Bulk describes Tb2Pm2Dy4Mg after structural relaxation. The functional is PBE-GGA.

Properties
Space-group type: No. 2
DFT formation energy, eV per formula unit: 1.2
Crystal system: triclinic

a b c (Å): 7.1089 8.5069 6.9533
angles (deg): 108.93 123.86 100.13
Closest atoms and distances in Å follow each position.
Fractional coordinates of all 9 atoms:
Tb 0.8133 0.3493 0.1575  6 Dy 3.42-3.74, 1 Tb 3.45, 1 Mg 3.56, 3 Pm 3.58-3.82
Tb 0.1867 0.6507 0.8425  6 Dy 3.42-3.74, 1 Tb 3.45, 1 Mg 3.56, 3 Pm 3.58-3.82
Pm 0.3512 0.8208 0.5223  1 Mg 3.44, 6 Dy 3.48-3.75, 3 Tb 3.58-3.82, 1 Pm 3.60
Pm 0.6488 0.1792 0.4777  1 Mg 3.44, 6 Dy 3.48-3.75, 3 Tb 3.58-3.82, 1 Pm 3.60
Dy 0.7000 0.6026 0.8438  1 Mg 3.11, 3 Dy 3.36-3.42, 2 Tb 3.42-3.43
Dy 0.7902 0.7830 0.4174  1 Mg 3.08, 2 Dy 3.36-3.39
Dy 0.3000 0.3974 0.1562  1 Mg 3.11, 3 Dy 3.36-3.42, 2 Tb 3.42-3.43
Dy 0.2098 0.2170 0.5826  1 Mg 3.08, 2 Dy 3.36-3.39
Mg 0.0000 0.0000 0.0000  4 Dy 3.08-3.11, 2 Pm 3.44

Record 12
This record from Alexandria via LeMat-Bulk describes LiSmHgRh after structural relaxation. The functional is PBE-GGA.

Properties
Space-group type: No. 216
DFT formation energy, eV per formula unit: -1.6
Crystal system: cubic

a b c (Å): 4.8119 4.8119 4.8119
angles (deg): 60.00 60.00 60.00
Closest atoms and distances in Å follow each position.
Fractional coordinates of all 4 atoms:
Rh 0.7500 0.7500 0.7500  4 Hg 2.95, 4 Sm 2.95
Hg 0.0000 0.0000 0.0000  4 Rh 2.95, 4 Li 2.95
Sm 0.5000 0.5000 0.5000  4 Li 2.95, 4 Rh 2.95
Li 0.2500 0.2500 0.2500  4 Hg 2.95, 4 Sm 2.95

Record 13
This record from Alexandria via LeMat-Bulk describes Tm3Si8Rh3 after structural relaxation. The functional is PBE-GGA.

Properties
Energy above the most stable polymorph in this dataset, eV/atom: 0.0322
Space-group type: No. 71
Formation energy (no corrections), eV per atom: -0.6581
Crystal system: orthorhombic

a b c (Å): 4.1632 7.7228 7.7228
angles (deg): 75.18 74.36 74.36
Closest atoms and distances in Å follow each position.
Fractional coordinates of all 14 atoms:
Tm 0.5000 0.5000 0.5000  12 Si 3.09, 4 Rh 3.31
Tm 0.8136 0.1864 0.1864  8 Si 2.93-2.96, 4 Rh 2.99-3.03
Tm 0.1864 0.8136 0.8136  8 Si 2.93-2.96, 4 Rh 2.99-3.03
Si 0.6278 0.0843 0.6601  3 Si 2.48-2.61, 3 Rh 2.48-2.55
Si 0.3722 0.9157 0.3399  3 Si 2.48-2.61, 3 Rh 2.48-2.55
Si 0.6278 0.6601 0.0843  3 Si 2.48-2.61, 3 Rh 2.48-2.55
Si 0.3722 0.3399 0.9157  3 Si 2.48-2.61, 3 Rh 2.48-2.55
Si 0.8320 0.7962 0.5398  1 Rh 2.37, 4 Si 2.42-2.61
Si 0.1680 0.2038 0.4602  1 Rh 2.37, 4 Si 2.42-2.61
Si 0.8320 0.5398 0.7962  1 Rh 2.37, 4 Si 2.42-2.61
Si 0.1680 0.4602 0.2038  1 Rh 2.37, 4 Si 2.42-2.61
Rh 0.5000 0.0000 0.0000  4 Si 2.48
Rh 0.0000 0.7733 0.2267  6 Si 2.37-2.55
Rh 0.0000 0.2267 0.7733  6 Si 2.37-2.55

Record 14
This record from Alexandria via LeMat-Bulk describes ZrInAsIr2 after structural relaxation. The functional is PBE-GGA.

Properties
Space-group type: No. 123
DFT formation energy, eV per formula unit: 5.2
Crystal system: tetragonal

a b c (Å): 4.9547 5.0688 4.9547
angles (deg): 90.00 90.00 90.00
Closest atoms and distances in Å follow each position.
Fractional coordinates of all 5 atoms:
As 0.0000 0.5000 0.0000  2 Zr 2.53
Ir 0.0000 0.0000 0.5000  2 Zr 2.48
Ir 0.5000 0.0000 0.0000  2 Zr 2.48
Zr 0.0000 0.0000 0.0000  4 Ir 2.48, 2 As 2.53
In 0.5000 0.5000 0.5000  4 As 3.50, 8 Ir 3.54

Record 15
This record from Alexandria via LeMat-Bulk describes ZnPd3Pt4 after structural relaxation. The functional is PBE-GGA.

Properties
Space-group type: No. 12
DFT formation energy, eV per formula unit: -1.5
Crystal system: monoclinic

a b c (Å): 2.7832 4.7921 9.6039
angles (deg): 104.85 98.33 90.00
Closest atoms and distances in Å follow each position.
Fractional coordinates of all 8 atoms:
Zn 0.5000 0.0000 0.0000  6 Pt 2.72-2.82, 4 Pd 2.77, 2 Zn 2.78
Pt 0.3760 0.2203 0.7520  5 Pd 2.77-2.82, 6 Pt 2.77-2.78, 1 Zn 2.82
Pt 0.6240 0.7797 0.2480  5 Pd 2.77-2.82, 6 Pt 2.77-2.78, 1 Zn 2.82
Pt 0.1209 0.2765 0.2417  2 Zn 2.72, 6 Pt 2.77-2.78, 4 Pd 2.77-2.89
Pt 0.8791 0.7235 0.7583  2 Zn 2.72, 6 Pt 2.77-2.78, 4 Pd 2.77-2.89
Pd 0.0000 0.5000 0.0000  6 Pt 2.77, 4 Zn 2.77, 2 Pd 2.78
Pd 0.7490 0.2492 0.4979  6 Pd 2.77-2.78, 6 Pt 2.82-2.89
Pd 0.2510 0.7508 0.5021  6 Pd 2.77-2.78, 6 Pt 2.82-2.89

Record 16
This record from Alexandria via LeMat-Bulk describes Li3Dy2YTe6 after structural relaxation. The functional is PBE-GGA.

Properties
Space-group type: No. 12
Formation energy (no corrections), eV per atom: -1.2972
Crystal system: monoclinic

a b c (Å): 7.5220 7.5220 7.4931
angles (deg): 99.64 99.64 120.00
Closest atoms and distances in Å follow each position.
Fractional coordinates of all 12 atoms:
Li 0.1664 0.8336 0.5000  6 Te 3.04-3.05
Li 0.8336 0.1664 0.5000  6 Te 3.04-3.05
Li 0.5000 0.5000 0.5000  6 Te 3.04-3.05
Dy 0.3333 0.6667 0.0000  6 Te 3.09
Dy 0.6667 0.3333 0.0000  6 Te 3.09
Y 0.0000 0.0000 0.0000  6 Te 3.09
Te 0.9148 0.5812 0.7446  3 Li 3.04-3.05, 2 Dy 3.09, 1 Y 3.09
Te 0.7515 0.7515 0.2554  3 Li 3.04, 2 Dy 3.09, 1 Y 3.09
Te 0.0852 0.4188 0.2554  3 Li 3.04-3.05, 2 Dy 3.09, 1 Y 3.09
Te 0.5812 0.9148 0.7446  3 Li 3.04-3.05, 2 Dy 3.09, 1 Y 3.09
Te 0.2485 0.2485 0.7446  3 Li 3.04, 2 Dy 3.09, 1 Y 3.09
Te 0.4188 0.0852 0.2554  3 Li 3.04-3.05, 2 Dy 3.09, 1 Y 3.09

Record 17
This record from Alexandria via LeMat-Bulk describes PmIrPd after structural relaxation. The functional is PBE-GGA.

Properties
Energy above the most stable polymorph in this dataset, eV/atom: 0.0000
Space-group type: No. 74
DFT formation energy, eV per formula unit: -2.1
Crystal system: orthorhombic

a b c (Å): 5.4458 5.4666 5.4666
angles (deg): 59.37 60.13 60.13
Closest atoms and distances in Å follow each position.
Fractional coordinates of all 6 atoms:
Pm 0.8776 0.3724 0.3724  6 Pd 3.19-3.24, 6 Ir 3.19-3.20, 4 Pm 3.31-3.37
Pm 0.1224 0.6276 0.6276  6 Pd 3.19-3.24, 6 Ir 3.19-3.20, 4 Pm 3.31-3.37
Ir 0.0000 0.0000 0.0000  2 Ir 2.72, 4 Pd 2.73
Ir 0.5000 0.0000 0.0000  2 Ir 2.72, 4 Pd 2.73
Pd 0.5000 0.5000 0.0000  2 Pd 2.71, 4 Ir 2.73
Pd 0.5000 0.0000 0.5000  2 Pd 2.71, 4 Ir 2.73

Number 1: volume 226.1 Å³/f.u.. Number 2: volume 215.3 Å³/f.u.. Number 3: volume 256.5 Å³/f.u.. Number 4: volume 61.7 Å³/f.u.. Number 5: volume 60.3 Å³/f.u.. Number 6: volume 117.7 Å³/f.u.. Number 7: volume 72.5 Å³/f.u.. Number 8: volume 230.3 Å³/f.u.. Number 9: volume 83.7 Å³/f.u.. Number 10: volume 156.3 Å³/f.u.. Number 11: volume 294.3 Å³/f.u.. Number 12: volume 78.8 Å³/f.u.. Number 13: volume 225.7 Å³/f.u.. Number 14: volume 124.4 Å³/f.u.. Number 15: volume 122.4 Å³/f.u.. Number 16: volume 346.0 Å³/f.u.. Number 17: volume 57.4 Å³/f.u..